# Tl4Hg3S2 (GGA-PBE, optimized geometry)
# **E_form (uncorrected)**: -0.182 eV per atom
# **D(E_F)**: 0.1 states/eV/cell
data_Tl4Hg3S2
_chemical_formula_sum 'Tl8 Hg6 S4'
_cell_length_a 14.7584
_cell_length_b 4.0878
_cell_length_c 10.0032
_cell_angle_alpha 90.00
_cell_angle_beta 102.11
_cell_angle_gamma 90.00
_symmetry_space_group_name_H-M 'C 1 2/m 1'
_symmetry_Int_Tables_number 12
_symmetry_space_group_name_Hall '-C 2y'
loop_
_atom_site_label
_atom_site_type_symbol
_atom_site_fract_x
_atom_site_fract_y
_atom_site_fract_z
_atom_site_occupancy
Tl1 Tl 0.0465 0.0000 0.1947 1
Tl2 Tl 0.1854 0.5000 0.6270 1
Hg1 Hg 0.0000 0.0000 0.5000 1
Hg2 Hg 0.1603 0.5000 0.9631 1
S1 S 0.1687 0.5000 0.3244 1